Record 1
! Sm2TlHg6, relaxed, DFT GGA-PBE; values from VASP
&SYSTEM
  ibrav = 0, nat = 9, ntyp = 3
/
ATOMIC_SPECIES
Sm 150.36 Sm.upf
Tl 204.38 Tl.upf
Hg 200.59 Hg.upf
ATOMIC_POSITIONS crystal
Sm 0.177 0.177 0.176
Sm 0.823 0.823 0.824
Tl 0.500 0.500 0.500
Hg 0.001 0.332 0.670
Hg 0.332 0.001 0.670
Hg 0.332 0.668 0.000
Hg 0.668 0.332 0.000
Hg 0.668 0.999 0.330
Hg 0.999 0.668 0.330
CELL_PARAMETERS angstrom
4.254 -4.425 0.000
4.254 4.425 0.000
-0.338 0.000 6.111
! SG: No. 12
! Size of the total moment in μB/f.u.: 0.0
! Total DFT energy (no corrections) in eV for the cell shown: -16.25
! DOS at the Fermi energy in states/eV/atom: 0.430
! Formation enthalpy at 0 K in eV/f.u.: -2.63
! V in Å³ per atom: 25.563

Record 2
! LiSN2F, relaxed, DFT GGA-PBE; values from VASP
&SYSTEM
  ibrav = 0, nat = 5, ntyp = 4
/
ATOMIC_SPECIES
Li 6.94 Li.upf
S 32.06 S.upf
N 14.01 N.upf
F 19.00 F.upf
ATOMIC_POSITIONS crystal
Li 0.000 0.000 0.000
S 0.500 0.500 0.500
N 0.000 0.500 0.000
N 0.500 0.000 0.000
F 0.000 0.000 0.500
CELL_PARAMETERS angstrom
4.115 0.000 0.000
0.000 4.115 0.000
0.000 0.000 3.312
! SG: No. 123
! Size of the total moment in μB/f.u.: 3.0
! Total DFT energy (no corrections) in eV for the cell shown: -17.96
! DOS at the Fermi energy in states/eV/atom: 0.431
! V in Å³ per atom: 11.214

Record 3
! ZrNiPt3, relaxed, DFT GGA-PBE; values from VASP
&SYSTEM
  ibrav = 0, nat = 5, ntyp = 3
/
ATOMIC_SPECIES
Zr 91.22 Zr.upf
Ni 58.69 Ni.upf
Pt 195.08 Pt.upf
ATOMIC_POSITIONS crystal
Zr 0.000 0.000 0.000
Ni 0.500 0.500 0.500
Pt 0.000 0.000 0.500
Pt 0.000 0.500 0.000
Pt 0.500 0.000 0.000
CELL_PARAMETERS angstrom
4.921 0.000 0.000
0.000 4.921 0.000
0.000 0.000 4.921
! SG: No. 221
! Size of the total moment in μB/f.u.: 0.0
! Total DFT energy (no corrections) in eV for the cell shown: -26.83
! DOS at the Fermi energy in states/eV/atom: 0.683
! Formation enthalpy at 0 K in eV/f.u.: 5.62
! V in Å³ per atom: 23.830

Record 4
! AgHPd2Pb, relaxed, DFT GGA-PBE; values from VASP
&SYSTEM
  ibrav = 0, nat = 5, ntyp = 4
/
ATOMIC_SPECIES
Ag 107.87 Ag.upf
H 1.01 H.upf
Pd 106.42 Pd.upf
Pb 207.20 Pb.upf
ATOMIC_POSITIONS crystal
Ag 0.000 0.000 0.000
H 0.500 0.500 0.500
Pd 0.000 0.500 0.500
Pd 0.500 0.000 0.500
Pb 0.500 0.500 0.000
CELL_PARAMETERS angstrom
4.072 0.000 0.000
0.000 4.072 0.000
0.000 0.000 4.742
! SG: No. 123
! Size of the total moment in μB/f.u.: 0.0
! Total DFT energy (no corrections) in eV for the cell shown: -20.12
! DOS at the Fermi energy in states/eV/atom: 0.205
! V in Å³ per atom: 15.728

Record 5
! ZnAsBr2N, relaxed, DFT GGA-PBE; values from VASP
&SYSTEM
  ibrav = 0, nat = 5, ntyp = 4
/
ATOMIC_SPECIES
Zn 65.41 Zn.upf
As 74.92 As.upf
Br 79.90 Br.upf
N 14.01 N.upf
ATOMIC_POSITIONS crystal
Zn 0.000 0.000 0.000
As 0.500 0.500 0.000
Br 0.000 0.500 0.500
Br 0.500 0.000 0.500
N 0.500 0.500 0.500
CELL_PARAMETERS angstrom
4.571 0.000 0.000
0.000 4.571 0.000
0.000 0.000 4.667
! SG: No. 123
! Size of the total moment in μB/f.u.: 0.0
! Total DFT energy (no corrections) in eV for the cell shown: -12.74
! DOS at the Fermi energy in states/eV/atom: 0.449
! V in Å³ per atom: 19.503

Record 6
! ErSn2Ru, relaxed, DFT GGA-PBE; values from VASP
&SYSTEM
  ibrav = 0, nat = 32, ntyp = 3
/
ATOMIC_SPECIES
Er 167.26 Er.upf
Sn 118.71 Sn.upf
Ru 101.07 Ru.upf
ATOMIC_POSITIONS crystal
Er 0.106 0.250 0.243
Er 0.144 0.750 0.469
Er 0.356 0.250 0.969
Er 0.394 0.750 0.743
Er 0.606 0.250 0.257
Er 0.644 0.750 0.031
Er 0.856 0.250 0.531
Er 0.894 0.750 0.757
Sn 0.035 0.044 0.741
Sn 0.035 0.456 0.741
Sn 0.213 0.546 0.984
Sn 0.213 0.954 0.984
Sn 0.287 0.046 0.484
Sn 0.287 0.454 0.484
Sn 0.465 0.544 0.241
Sn 0.465 0.956 0.241
Sn 0.535 0.044 0.759
Sn 0.535 0.456 0.759
Sn 0.713 0.546 0.516
Sn 0.713 0.954 0.516
Sn 0.787 0.046 0.016
Sn 0.787 0.454 0.016
Sn 0.965 0.544 0.259
Sn 0.965 0.956 0.259
Ru 0.073 0.750 0.000
Ru 0.175 0.250 0.727
Ru 0.325 0.750 0.227
Ru 0.427 0.250 0.500
Ru 0.573 0.750 0.500
Ru 0.675 0.250 0.773
Ru 0.825 0.750 0.273
Ru 0.927 0.250 0.000
CELL_PARAMETERS angstrom
16.261 0.000 0.000
0.000 7.442 0.000
0.000 0.000 5.758
! SG: No. 62
! Size of the total moment in μB/f.u.: 0.0
! Total DFT energy (no corrections) in eV for the cell shown: -189.86
! DOS at the Fermi energy in states/eV/atom: 0.519
! Formation enthalpy at 0 K in eV/f.u.: -1.89
! V in Å³ per atom: 21.777